# GaCoSn2 | Alexandria via LeMat-Bulk | PBE-GGA | optimized geometry
# Crystal system   tetragonal
# Raw total energy   -4.208 eV/atom
data_GaCoSn2
_space_group_name_H-M_alt 'I -4 2 d'
_space_group_IT_number 122
_space_group_name_Hall 'I -4 2bw'
_cell_length_a 4.657
_cell_length_b 4.657
_cell_length_c 16.572
_cell_angle_alpha 90.00
_cell_angle_beta 90.00
_cell_angle_gamma 90.00
loop_
_atom_site_label
_atom_site_fract_x
_atom_site_fract_y
_atom_site_fract_z
Ga1 0.000 0.000 0.000
Co1 0.000 0.000 0.500
Sn1 0.207 0.250 0.625